DFT (PBE) results for an optimized crystal structure of HfMgAl.

a = 4.7069 Å, b = 4.7069 Å, c = 4.7069 Å
α = 60.00°, β = 60.00°, γ = 60.00°
Positions (direct):
Hf1 0.0000 0.0000 0.0000
Mg1 0.2500 0.2500 0.2500
Al1 0.7500 0.7500 0.7500

Summary:
- total magnetic moment (μB per formula unit) = 0.01
- calculated total energy (eV per atom) = -4.485

=====

DFT (PBE) results for an optimized crystal structure of HfZrNb2Si2.

a = 7.8522 Å, b = 7.8522 Å, c = 7.8522 Å
α = 151.74°, β = 151.74°, γ = 40.39°
Positions (direct):
Hf1 0.0000 0.0000 0.0000
Zr1 0.6438 0.6438 0.0000
Nb1 0.3227 0.8227 0.5000
Nb2 0.8227 0.3227 0.5000
Si1 0.1875 0.1875 0.0000
Si2 0.4565 0.4565 0.0000

Summary:
- total magnetic moment (μB per formula unit) = 0.02
- calculated total energy (eV per atom) = -8.970

=====

Repeat the first record exactly.
DFT (PBE) results for an optimized crystal structure of HfMgAl.

a = 4.7069 Å, b = 4.7069 Å, c = 4.7069 Å
α = 60.00°, β = 60.00°, γ = 60.00°
Positions (direct):
Hf1 0.0000 0.0000 0.0000
Mg1 0.2500 0.2500 0.2500
Al1 0.7500 0.7500 0.7500

Summary:
- total magnetic moment (μB per formula unit) = 0.01
- calculated total energy (eV per atom) = -4.485